# Sr3GePd9Au2

Sr3GePd9Au2 after structural relaxation (PBE-GGA, the Alexandria database).

Magnetization in μB/cell: 0.00
N(E_F) in states/eV per atom: 0.279
Calculated formation energy in eV/f.u.: -3.08

POSCAR file:
```
Sr3GePd9Au2
1.0
7.941 0.000 0.000
-3.971 6.877 0.000
0.000 0.000 6.445
Sr Ge Pd Au
3 1 9 2
direct
0.333 0.667 0.679 Sr
0.000 0.000 0.000 Sr
0.667 0.333 0.321 Sr
0.000 0.000 0.500 Ge
0.845 0.155 0.664 Pd
0.845 0.690 0.664 Pd
0.310 0.155 0.664 Pd
0.690 0.845 0.336 Pd
0.155 0.310 0.336 Pd
0.155 0.845 0.336 Pd
0.500 0.000 0.000 Pd
0.000 0.500 0.000 Pd
0.500 0.500 0.000 Pd
0.333 0.667 0.194 Au
0.667 0.333 0.806 Au
```